A relaxed Sm4GaBi crystal, computed with PBE.

a = 5.7374 Å, b = 20.8920 Å, c = 6.3829 Å
α = 90.00°, β = 90.00°, γ = 90.00°
Last column: nearest neighbours and their distance in Å.
Space group Cmcm (No. 63)
Unique sites:
Sm 0.0000 0.0568 0.2500 x4  1 Ga 2.87
Sm 0.0000 0.2071 0.5009 x8  1 Ga 3.08, 4 Sm 3.18-3.38, 1 Bi 3.43
Sm 0.0000 0.3892 0.2500 x4  2 Ga 2.94, 2 Bi 3.28
Ga 0.0000 0.0808 0.7500 x4  5 Sm 2.87-3.08
Bi 0.0000 0.3525 0.7500 x4  10 Sm 3.28-3.51

Calculated values
E_tot: -4.649 eV per atom
formation energy: -0.352 eV per atom